LiHoPb PBE relaxed; energy of formation from the pure elements = -206 meV/atom
1.0
-1.929 2.925 0.786
-2.471 -2.059 1.597
5.012 0.077 3.816
Pb Ho Li
1 1 1
direct
0.928 0.928 0.856
0.616 0.616 0.232
0.306 0.306 0.611


ErInAu2 PBE relaxed; energy of formation from the pure elements = -702 meV/atom
1.0
-3.681 2.755 1.739
-4.592 -0.749 -1.587
-3.346 -1.983 3.005
Au Er In
2 1 1
direct
0.250 0.250 0.250
0.750 0.750 0.750
0.000 0.000 0.000
0.500 0.500 0.500


K2AsRh PBE relaxed; energy of formation from the pure elements = -134 meV/atom
1.0
-3.035 1.429 0.676
-0.901 -0.362 -3.280
-3.795 -9.023 2.038
K Rh As
2 1 1
direct
0.500 0.500 0.337
0.000 0.000 0.910
0.000 0.000 0.584
0.500 0.500 0.669


NaUPb2O6 PBE relaxed; calculated total energy = -69.26 eV per formula unit
1.0
-0.075 -3.588 4.633
5.566 2.202 1.796
-3.955 6.185 4.674
Na O Pb U
2 12 4 2
direct
0.500 0.000 0.000
0.000 0.500 0.500
0.367 0.929 0.730
0.867 0.571 0.230
0.365 0.712 0.430
0.633 0.071 0.270
0.701 0.345 0.945
0.201 0.155 0.445
0.865 0.788 0.930
0.299 0.655 0.055
0.135 0.212 0.070
0.635 0.288 0.570
0.133 0.429 0.770
0.799 0.845 0.555
0.999 0.047 0.750
0.501 0.547 0.750
0.499 0.453 0.250
0.001 0.953 0.250
0.500 0.000 0.500
0.000 0.500 0.000


PSe4 PBE relaxed; calculated total energy = -16.81 eV per formula unit
1.0
3.380 -1.404 -3.798
1.416 -2.275 4.543
-4.864 -1.565 -1.309
Se P
4 1
direct
0.500 0.500 0.500
0.000 0.000 0.500
0.000 0.500 0.000
0.500 0.000 0.000
0.000 0.000 0.000


ZnTeO3 PBE relaxed; calculated total energy = -21.68 eV per formula unit
1.0
4.063 0.000 0.000
0.000 4.063 0.000
0.000 0.000 4.063
O Zn Te
3 1 1
direct
0.000 0.500 0.000
0.000 0.000 0.500
0.500 0.000 0.000
0.500 0.500 0.500
0.000 0.000 0.000


Zr3AgRh PBE relaxed; energy of formation from the pure elements = 315 meV/atom
1.0
5.020 0.000 0.000
0.000 5.020 0.000
0.000 0.000 5.020
Zr Rh Ag
3 1 1
direct
0.000 0.000 0.500
0.500 0.000 0.000
0.000 0.500 0.000
0.000 0.000 0.000
0.500 0.500 0.500


Ho2Tm3PuS6 PBE relaxed; calculated total energy = -85.00 eV per formula unit
1.0
3.855 0.000 0.000
0.000 7.775 0.272
-1.928 -2.247 8.145
S Tm Pu Ho
6 3 1 2
direct
0.667 0.586 0.334
0.999 0.256 0.998
0.333 0.414 0.666
0.330 0.917 0.660
0.670 0.083 0.340
0.001 0.744 0.002
0.835 0.164 0.670
0.500 0.500 0.000
0.165 0.836 0.330
0.500 0.000 0.000
0.836 0.671 0.672
0.164 0.329 0.328